# 1
As3IrBr: relaxed, PBE.

Results
* polymorph energy (0 for the lowest one): 0 meV per atom

Unit cell a=4.9157 b=4.9157 c=4.9157 alpha=90.00 beta=90.00 gamma=90.00
Space group Pm-3m (No. 221)
Unique sites:
As 0.0000 0.0000 0.5000 (multiplicity 3)
Ir 0.0000 0.0000 0.0000 (multiplicity 1)
Br 0.5000 0.5000 0.5000 (multiplicity 1)

# 2
AsIr2Br: relaxed, PBE.

Results
* polymorph energy (0 for the lowest one): 260 meV per atom

Unit cell a=2.8410 b=5.1488 c=10.1181 alpha=90.00 beta=90.00 gamma=90.00
Space group Cmm2 (No. 35)
Unique sites:
As 0.0000 0.0000 0.0000 (multiplicity 2)
Ir 0.0000 0.0000 0.4331 (multiplicity 2)
Ir 0.0000 0.5000 0.2102 (multiplicity 2)
Br 0.0000 0.5000 0.6552 (multiplicity 2)

# 3
As3IrBr: relaxed, PBE.

Results
* polymorph energy (0 for the lowest one): 1213 meV per atom

Unit cell a=4.8828 b=4.8828 c=4.8828 alpha=90.00 beta=90.00 gamma=90.00
Space group Pm-3m (No. 221)
Unique sites:
As 0.0000 0.0000 0.5000 (multiplicity 3)
Ir 0.5000 0.5000 0.5000 (multiplicity 1)
Br 0.0000 0.0000 0.0000 (multiplicity 1)

# 4
As4IrBr: relaxed, PBE.

Unit cell a=7.8515 b=7.8515 c=7.8515 alpha=90.00 beta=90.00 gamma=90.00
Space group F-43m (No. 216)
Unique sites:
As 0.1192 0.1192 0.1192 (multiplicity 16)
Ir 0.0000 0.0000 0.5000 (multiplicity 4)
Br 0.2500 0.2500 0.7500 (multiplicity 4)

# 5
AsIr2Br: relaxed, PBE.

Results
* polymorph energy (0 for the lowest one): 132 meV per atom

Unit cell a=3.0977 b=3.1115 c=7.3230 alpha=90.00 beta=90.00 gamma=90.00
Space group Pmmm (No. 47)
Unique sites:
As 0.0000 0.0000 0.0000 (multiplicity 1)
Ir 0.5000 0.5000 0.1921 (multiplicity 2)
Br 0.0000 0.5000 0.5000 (multiplicity 1)

# 6
KAsIrBr2: relaxed, PBE.

Results
* polymorph energy (0 for the lowest one): 0 meV per atom

Unit cell a=5.5713 b=5.5713 c=4.5953 alpha=90.00 beta=90.00 gamma=90.00
Space group P4/mmm (No. 123)
Unique sites:
K 0.0000 0.0000 0.0000 (multiplicity 1)
As 0.5000 0.5000 0.0000 (multiplicity 1)
Ir 0.5000 0.5000 0.5000 (multiplicity 1)
Br 0.0000 0.5000 0.5000 (multiplicity 2)

The records above give, respectively, total energy values of -0.159 -0.200 -0.114 -0.144 -0.205 -0.145 hartree per atom.
The records above give, respectively, total magnetic moment values of 0.00 0.00 0.00 0.00 0.00 0.00 μB per formula unit.